1.
DFT (PBE-GGA) results for an optimized crystal structure of HoIn2Pd3.

As for the energy relative to the elements: -0.718 eV per atom. For the total magnetic moment, the calculation gives 0.00 μB/cell.

It has space group P-3m1 (No. 164), with a = 4.7612 Å, b = 4.7612 Å, c = 11.5854 Å, α = 90.00°, β = 90.00° and γ = 120.00°. The asymmetric unit holds Ho at (0.3333, 0.6667, 0.1699), In at (0.0000, 0.0000, 0.0000), In at (0.0000, 0.0000, 0.5000), In at (0.3333, 0.6667, 0.6674), Pd at (0.0000, 0.0000, 0.2592), Pd at (0.3333, 0.6667, 0.4242) and Pd at (0.3333, 0.6667, 0.9143).

=====

2.
DFT (PBE-GGA) results for an optimized crystal structure of LiDy2Ge3Pt4.

As for the energy relative to the elements: -0.899 eV per atom. For the total magnetic moment, the calculation gives 0.00 μB/cell.

It has space group P-4m2 (No. 115), with a = 4.1972 Å, b = 4.1972 Å, c = 10.4203 Å, α = 90.00°, β = 90.00° and γ = 90.00°. The asymmetric unit holds Li at (0.0000, 0.0000, 0.0000), Dy at (0.0000, 0.5000, 0.7524), Ge at (0.0000, 0.5000, 0.3632), Ge at (0.5000, 0.5000, 0.0000), Pt at (0.0000, 0.0000, 0.5000), Pt at (0.0000, 0.5000, 0.1329) and Pt at (0.5000, 0.5000, 0.5000).

=====

3.
DFT (PBE-GGA) results for an optimized crystal structure of Mg2AgBr.

For the total magnetic moment, the calculation gives 0.00 μB/cell. The calculation puts the uncorrected formation energy at 0.160 eV/atom.

It has space group F-43m (No. 216), with a = 7.3263 Å, b = 7.3263 Å, c = 7.3263 Å, α = 90.00°, β = 90.00° and γ = 90.00°. The asymmetric unit holds Mg at (0.0000, 0.0000, 0.0000), Mg at (0.2500, 0.2500, 0.2500), Ag at (0.2500, 0.2500, 0.7500) and Br at (0.0000, 0.0000, 0.5000).

=====

4.
DFT (PBE-GGA) results for an optimized crystal structure of Ba8Na3Pt2.

As for the energy relative to the elements: -0.267 eV per atom. For the total magnetic moment, the calculation gives 0.00 μB/cell.

It has space group C2/m (No. 12), with a = 19.4723 Å, b = 9.2998 Å, c = 7.7151 Å, α = 90.00°, β = 90.10° and γ = 90.00°. The asymmetric unit holds Ba at (0.1393, 0.0000, 0.3134), Ba at (0.1610, 0.2562, 0.8398), Ba at (0.1711, 0.5000, 0.3338), Na at (0.0000, 0.3058, 0.5000), Na at (0.0000, 0.5000, 0.0000) and Pt at (0.2432, 0.0000, 0.0066).

=====

> What is the total magnetic moment in the second record?

0.00 μB/cell

=====

Copy entry 1 word for word.
DFT (PBE-GGA) results for an optimized crystal structure of HoIn2Pd3.

As for the energy relative to the elements: -0.718 eV per atom. For the total magnetic moment, the calculation gives 0.00 μB/cell.

It has space group P-3m1 (No. 164), with a = 4.7612 Å, b = 4.7612 Å, c = 11.5854 Å, α = 90.00°, β = 90.00° and γ = 120.00°. The asymmetric unit holds Ho at (0.3333, 0.6667, 0.1699), In at (0.0000, 0.0000, 0.0000), In at (0.0000, 0.0000, 0.5000), In at (0.3333, 0.6667, 0.6674), Pd at (0.0000, 0.0000, 0.2592), Pd at (0.3333, 0.6667, 0.4242) and Pd at (0.3333, 0.6667, 0.9143).